Compound: Pr2MgHg8
Source: the Alexandria database
Functional: GGA-PBE
Structure: relaxed

Calculated values
theoretical density: 11055 kg/m3
formation energy: -0.299 eV/atom
total DFT energy (no corrections): -16.9 eV per cell

abc: 4.7318 4.7318 12.8189
angles: 90.00 90.00 90.00
With the nearest neighbours (Å) after each atom.
Atoms (fractional coordinates):
Pr  0.0000  0.0000  0.1892  12 Hg 3.30-3.39
Pr  0.0000  0.0000  0.8108  12 Hg 3.30-3.39
Mg  0.0000  0.0000  0.5000  8 Hg 2.91
Hg  0.0000  0.5000  0.0000  8 Hg 3.33-3.35, 4 Pr 3.39
Hg  0.0000  0.5000  0.3683  2 Mg 2.91
Hg  0.0000  0.5000  0.6317  2 Mg 2.91
Hg  0.5000  0.0000  0.0000  8 Hg 3.33-3.35, 4 Pr 3.39
Hg  0.5000  0.0000  0.3683  2 Mg 2.91
Hg  0.5000  0.0000  0.6317  2 Mg 2.91
Hg  0.5000  0.5000  0.1830  8 Hg 3.33-3.35, 4 Pr 3.35
Hg  0.5000  0.5000  0.8170  8 Hg 3.33-3.35, 4 Pr 3.35